No. 1
{
  "formula": "OsN3Cl",
  "functional": "PBE",
  "state": "optimized geometry",
  "lattice": [[3.642, 0.000, 0.000], [0.000, 3.642, 0.000], [0.000, 0.000, 3.642]],
  "species": ["N", "N", "N", "Cl", "Os"],
  "fractional_positions": [[0.500, 0.000, 0.000], [0.000, 0.500, 0.000], [0.000, 0.000, 0.500], [0.000, 0.000, 0.000], [0.500, 0.500, 0.500]],
  "final_energy_ev_per_cell": -22.53,
  "vol_a3_per_cell": 48.3,
  "space_group": "Pm-3m, No. 221"
}

***

No. 2
{
  "formula": "Fe3Co3Ir2",
  "functional": "PBE",
  "state": "optimized geometry",
  "lattice": [[-1.547, -2.909, 1.511], [3.287, -1.443, 0.587], [0.261, 3.247, 6.521]],
  "species": ["Fe", "Co", "Fe", "Co", "Co", "Ir", "Fe", "Ir"],
  "fractional_positions": [[0.000, 0.500, 0.500], [0.500, 0.500, 0.752], [0.000, 0.500, 0.000], [0.500, 0.500, 0.248], [0.500, 0.000, 0.000], [0.000, 0.000, 0.249], [0.500, 0.000, 0.500], [0.000, 0.000, 0.751]],
  "final_energy_ev_per_cell": -64.27,
  "vol_a3_per_cell": 96.1,
  "space_group": "Pmmm, No. 47"
}

***

No. 3
{
  "formula": "Hg2GePd8",
  "functional": "PBE",
  "state": "optimized geometry",
  "lattice": [[4.621, 0.000, 0.000], [0.000, 5.905, -0.190], [-2.310, -2.744, 6.881]],
  "species": ["Pd", "Pd", "Pd", "Ge", "Pd", "Pd", "Pd", "Pd", "Hg", "Hg", "Pd"],
  "fractional_positions": [[0.637, 0.879, 0.275], [0.822, 0.822, 0.643], [0.000, 0.248, 0.000], [0.500, 0.000, 0.000], [0.362, 0.604, 0.725], [0.178, 0.178, 0.357], [0.000, 0.752, 0.000], [0.638, 0.396, 0.275], [0.183, 0.684, 0.367], [0.817, 0.316, 0.633], [0.363, 0.121, 0.725]],
  "final_energy_ev_per_cell": -49.01,
  "vol_a3_per_cell": 185.3,
  "space_group": "C2/m, No. 12"
}

***

No. 4
{
  "formula": "KLiTiF6",
  "functional": "PBE",
  "state": "optimized geometry",
  "lattice": [[-4.591, 2.638, 0.404], [-4.366, -1.891, -2.357], [-1.273, -2.935, 4.713]],
  "species": ["Ti", "F", "F", "K", "F", "F", "Li", "F", "F"],
  "fractional_positions": [[0.667, 0.667, 0.500], [0.630, 0.976, 0.310], [0.393, 0.630, 0.310], [0.000, 0.000, 0.000], [0.976, 0.630, 0.690], [0.630, 0.394, 0.690], [0.333, 0.333, 0.500], [0.976, 0.393, 0.310], [0.393, 0.976, 0.690]],
  "final_energy_ev_per_cell": -51.56,
  "vol_a3_per_cell": 139.1,
  "space_group": "P312, No. 149"
}

***

No. 5
{
  "formula": "Th3Tl4Ag2",
  "functional": "PBE",
  "state": "optimized geometry",
  "lattice": [[-2.777, 4.307, 0.187], [-3.139, -4.992, -1.950], [1.815, 0.766, 9.329]],
  "species": ["Th", "Ag", "Tl", "Tl", "Ag", "Th", "Tl", "Tl", "Th"],
  "fractional_positions": [[0.336, 0.671, 0.336], [0.389, 0.779, 0.719], [0.710, 0.421, 0.054], [0.937, 0.873, 0.611], [0.611, 0.221, 0.281], [0.000, 0.000, 0.000], [0.063, 0.127, 0.389], [0.290, 0.579, 0.946], [0.664, 0.329, 0.664]],
  "final_energy_ev_per_cell": -38.31,
  "vol_a3_per_cell": 237.3,
  "space_group": "C2/m, No. 12"
}